No. 1
8
Lattice="-1.6916 -1.0644 -3.9233 7.1085 -0.5437 -2.9174 -2.1629 -6.7881 2.7742" Properties=species:S:1:pos:R:3 comment="LiNdNp2Te4 (PBE, optimized geometry)" spacegroup="P2/m (10)" crystal_system=monoclinic n_ef_per_ev_atom=3.120 formation_energy_uncorrected_ev_per_atom=-0.881 final_energy_ev_per_atom=-6.52 pbc="T T T"
Li 2.7085 -0.8041 -3.4204
Nd 0.0000 0.0000 0.0000
Np -1.9273 -3.9263 -0.5746
Np 2.4728 -3.6659 -0.0716
Te 0.4569 -2.3713 -2.0244
Te 2.7971 -6.0249 -2.0422
Te 0.2024 -5.2735 1.3434
Te 4.7431 -2.0584 -1.4867

No. 2
18
Lattice="-4.5689 0.8352 3.0131 2.1431 -11.4335 1.3423 7.1000 -5.7888 7.2939" Properties=species:S:1:pos:R:3 comment="TbY6Sc2 (PBE, optimized geometry)" spacegroup="C2/m (12)" crystal_system=monoclinic delta_e_f_ev_per_atom=0.081 polymorph_energy_mev_per_atom=0.0 n_ef_per_ev_atom=1.990 final_energy_ev_per_atom=-6.15 pbc="T T T"
Tb 4.7184 -6.9914 6.5591
Tb -0.0441 -9.3958 5.0902
Y 2.0154 -8.9321 8.0816
Y 1.2022 -6.0950 6.0680
Y 2.6589 -7.4551 3.5676
Y 3.4721 -10.2923 5.5812
Y 0.7507 -12.1736 7.0621
Y -0.8393 -6.6185 3.1177
Y 3.9236 -4.2136 4.5871
Y 5.5136 -9.7688 8.5315
Y 8.1029 -15.1230 8.8831
Y -0.3166 -0.7393 2.2534
Y -3.4287 -1.2643 2.7661
Y 4.9908 -15.6479 9.3958
Sc 2.7791 -11.6111 9.9855
Sc 0.4379 -3.4166 4.1634
Sc 1.8952 -4.7761 1.6637
Sc 4.2363 -12.9706 7.4858

No. 3
12
Lattice="8.1299 0.0000 0.0000 0.0000 7.7326 0.0000 -4.0650 -3.8663 8.6214" Properties=species:S:1:pos:R:3 comment="Cs2BaAlSb2 (PBE, optimized geometry)" spacegroup="Ibam (72)" crystal_system=orthorhombic n_ef_per_ev_atom=0.715 formation_energy_uncorrected_ev_per_atom=-0.448 final_energy_ev_per_atom=-3.05 pbc="T T T"
Cs 2.3208 0.0000 3.1390
Cs 1.7442 3.8663 5.4824
Cs -1.7442 0.0000 5.4824
Cs 5.8091 3.8663 3.1390
Ba 0.0000 5.7995 0.0000
Ba 0.0000 1.9332 0.0000
Al 4.0650 5.7995 0.0000
Al 4.0650 1.9332 0.0000
Sb 5.6401 0.0000 1.4396
Sb 2.4898 3.8663 1.4396
Sb 1.5752 0.0000 7.1818
Sb -1.5752 3.8663 7.1818

No. 4
6
Lattice="0.0000 4.1297 4.1297 4.1297 0.0000 4.1297 4.1297 4.1297 0.0000" Properties=species:S:1:pos:R:3 comment="YZnCd4 (PBE, optimized geometry)" spacegroup="F-43m (216)" crystal_system=cubic delta_e_f_ev_per_atom=-0.015 polymorph_energy_mev_per_atom=87.7 n_ef_per_ev_atom=0.498 final_energy_ev_per_atom=-1.91 pbc="T T T"
Y 6.1945 6.1945 6.1945
Zn 0.0000 0.0000 0.0000
Cd 3.0980 5.1614 5.1614
Cd 5.1614 5.1614 3.0980
Cd 5.1614 3.0980 5.1614
Cd 3.0980 3.0980 3.0980

No. 5
10
Lattice="-5.2594 3.5069 0.5174 -3.5200 -5.0573 -1.5034 -0.3187 -1.1673 4.6727" Properties=species:S:1:pos:R:3 comment="Sc2Ti2Os (PBE, optimized geometry)" spacegroup="P4/mbm (127)" crystal_system=tetragonal delta_e_f_ev_per_atom=-0.111 n_ef_per_ev_atom=0.506 final_energy_ev_per_atom=-8.05 pbc="T T T"
Sc -3.4294 -3.3789 1.4150
Sc -6.6082 -2.4144 1.4392
Sc -5.6686 0.6613 2.2716
Sc -2.4898 -0.3033 2.2474
Os 0.0000 0.0000 0.0000
Os -4.3897 -0.7752 -0.4930
Ti -4.8749 -3.0787 -1.1016
Ti -6.7668 -0.2653 -0.5277
Ti -3.9045 1.5283 0.1155
Ti -2.0126 -1.2851 -0.4583

No. 6
18
Lattice="-3.5035 -5.6643 1.4171 6.5448 -4.1455 -0.3892 -0.4393 5.9637 6.3917" Properties=species:S:1:pos:R:3 comment="Hg2Bi2Pd5 (PBE, optimized geometry)" spacegroup="Ima2 (46)" crystal_system=orthorhombic delta_e_f_ev_per_atom=-0.109 n_ef_per_ev_atom=0.481 final_energy_ev_per_atom=-3.92 pbc="T T T"
Hg 0.7541 -0.4776 -0.0448
Hg 2.2747 -5.3825 0.4691
Hg 1.1369 -0.1707 3.4668
Hg 2.9441 -4.6122 3.8648
Bi 3.7580 -1.6487 1.5518
Bi -0.9950 -2.2995 5.8582
Bi -1.5123 -2.8060 2.5545
Bi 4.2753 -1.1421 4.8555
Pd 4.1242 1.4850 5.6745
Pd 2.5299 -7.8977 1.5041
Pd 0.3640 2.7691 6.0664
Pd -0.2547 -5.0364 1.5014
Pd 5.0857 -4.1849 1.9934
Pd 1.8174 -2.3856 5.1703
Pd 1.3780 -2.8158 2.3641
Pd -1.0197 0.3909 5.1889
Pd 0.1265 -4.6590 4.3132
Pd -0.0528 2.4144 3.2567

No. 7
18
Lattice="5.5561 0.0000 0.0000 -2.7780 9.8288 0.0000 0.0000 0.0000 10.4522" Properties=species:S:1:pos:R:3 comment="La2TbTm5Sc (PBE, optimized geometry)" spacegroup="Cmc2_1 (36)" crystal_system=orthorhombic delta_e_f_ev_per_atom=0.157 n_ef_per_ev_atom=1.233 final_energy_ev_per_atom=-4.64 pbc="T T T"
La 2.7780 7.5941 8.5115
La 0.0000 2.2666 7.6727
La 0.0000 2.2347 3.2854
La 2.7780 7.5621 2.4466
Tb 2.7780 1.7412 10.0547
Tb 0.0000 8.0875 4.8286
Tm 0.0000 7.4242 0.1961
Tm 2.7780 4.3777 8.5583
Tm 0.0000 9.4919 7.7305
Tm 0.0000 5.8468 7.3413
Tm 2.7780 9.5147 5.4405
Tm 2.7780 2.4046 5.4222
Tm 0.0000 5.4511 3.3322
Tm 2.7780 0.3368 2.5044
Tm 2.7780 3.9820 2.1152
Tm 0.0000 0.3141 0.2144
Sc 2.7780 5.9306 5.3677
Sc 0.0000 3.8982 0.1416

No. 8
6
Lattice="-8.0997 8.7222 4.7834 4.8727 -10.0422 -6.3225 -0.5810 -2.2801 3.1737" Properties=species:S:1:pos:R:3 comment="PmPrZr (PBE, optimized geometry)" spacegroup="Cmcm (63)" crystal_system=orthorhombic delta_e_f_ev_per_atom=0.157 polymorph_energy_mev_per_atom=45.3 n_ef_per_ev_atom=1.322 final_energy_ev_per_atom=-5.87 pbc="T T T"
Pm 2.8044 -7.8305 -3.8827
Pm -6.6123 4.2305 5.5173
Pr -1.0110 -2.3116 -0.6162
Pr -2.7970 -1.2885 2.2509
Zr -4.9704 1.8554 4.1117
Zr 1.1624 -5.4555 -2.4770